Material: UW5
Method: DFT, GGA-PBE
State: optimized geometry

Properties
Fermi-level density of states	12.00	states/eV/cell
crystal system	orthorhombic
raw total energy	-12.4295	eV/atom

abc: 4.6152 13.9514 3.2045
angles: 90.00 90.00 90.00
Space group Cmmm (No. 65)
One atom of each set of equivalent atoms:
U (0.0000, 0.0000, 0.0000) (multiplicity 2)
W (0.0000, 0.1709, 0.5000) (multiplicity 4)
W (0.0000, 0.3263, 0.0000) (multiplicity 4)
W (0.0000, 0.5000, 0.5000) (multiplicity 2)